Computed, not measured: a relaxed structure of CaTlZnBr5 at the PBE level of DFT.

## Properties
E_tot ... -97.710 eV/cell
Volume ... 284 Å³/f.u.

Cell: 9.568 12.537 10.396 Å, 90.00 114.23 90.00°
Space group C2/c (No. 15)
Inequivalent atoms, fractional coordinates:
Ca  0.000  0.000  0.000 (multiplicity 4)
Tl  0.000  0.344  0.250 (multiplicity 4)
Zn  0.000  0.317  0.750 (multiplicity 4)
Br  0.000  0.087  0.250 (multiplicity 4)
Br  0.120  0.211  0.625 (multiplicity 8)
Br  0.179  0.433  0.935 (multiplicity 8)